Below is an optimized crystal structure of Pr3SmTe3, with properties calculated at the PBE-GGA level.

Values from the calculation:
The total energy comes out at -5.197 eV/atom. As for the symmetry: R-3. As for the uncorrected formation energy: -1.128 eV/atom.

a b c (Å): 9.2949 9.2949 8.1935
angles (deg): 55.44 55.44 60.00
Closest atoms and distances in Å follow each position.
Atoms (fractional coordinates):
1 Te 0.0929 0.4628 0.7623  5 Pr 3.16-3.33, 2 Sm 3.20-3.27
2 Te 0.5372 0.3181 0.2377  5 Pr 3.16-3.33, 2 Sm 3.20-3.27
3 Te 0.6819 0.0929 0.7623  5 Pr 3.16-3.33, 2 Sm 3.20-3.27
4 Te 0.9071 0.5372 0.2377  5 Pr 3.16-3.33, 2 Sm 3.20-3.27
5 Te 0.3181 0.9071 0.2377  5 Pr 3.16-3.33, 2 Sm 3.20-3.27
6 Te 0.4628 0.6819 0.7623  5 Pr 3.16-3.33, 2 Sm 3.20-3.27
7 Pr 0.0824 0.8345 0.7395  5 Te 3.16-3.33
8 Pr 0.1655 0.6564 0.2605  5 Te 3.16-3.33
9 Pr 0.8345 0.3436 0.7395  5 Te 3.16-3.33
10 Pr 0.9176 0.1655 0.2605  5 Te 3.16-3.33
11 Pr 0.3436 0.0824 0.7395  5 Te 3.16-3.33
12 Pr 0.6564 0.9176 0.2605  5 Te 3.16-3.33
13 Sm 0.3185 0.3185 0.0446  6 Te 3.20-3.27
14 Sm 0.6815 0.6815 0.9554  6 Te 3.20-3.27